VASP calculation (PBE) on a relaxed CsSr2CrH crystal.

Geometry as POSCAR:
```
CsSr2CrH
1.0
-1.300 -4.725 3.823
3.394 -2.142 -1.493
3.560 2.577 4.395
Sr Cs H Cr
2 1 1 1
direct
0.500 0.000 0.000 Sr
0.000 0.000 0.500 Sr
0.500 0.500 0.500 Cs
0.000 0.000 0.000 H
0.000 0.500 0.000 Cr
```

Computed properties:
VASP energy = -2.888 eV per atom
space group = No. 123
calculated volume = 33.082 A^3/atom
crystal system = tetragonal



VASP calculation (PBE) on a relaxed CsTaCrH2 crystal.

Geometry as POSCAR:
```
CsTaCrH2
1.0
3.851 0.000 0.000
0.000 6.643 0.000
0.000 0.000 3.851
H Cs Cr Ta
2 1 1 1
direct
0.000 0.000 0.500 H
0.500 0.000 0.000 H
0.000 0.000 0.000 Cs
0.500 0.500 0.500 Cr
0.000 0.500 0.000 Ta
```

Computed properties:
VASP energy = -3.771 eV per atom
space group = No. 123
calculated volume = 19.708 A^3/atom
crystal system = tetragonal



VASP calculation (PBE) on a relaxed CsZnCrH6 crystal.

Geometry as POSCAR:
```
CsZnCrH6
1.0
4.806 0.000 0.000
2.403 4.162 0.000
0.000 0.000 6.058
H Cr Zn Cs
6 1 1 1
direct
0.018 0.491 0.317 H
0.491 0.019 0.683 H
0.490 0.018 0.317 H
0.018 0.490 0.683 H
0.490 0.491 0.683 H
0.491 0.491 0.317 H
0.333 0.333 0.500 Cr
0.667 0.667 0.500 Zn
0.000 0.000 0.000 Cs
```

Computed properties:
VASP energy = -3.576 eV per atom
space group = No. 187
calculated volume = 13.461 A^3/atom
crystal system = hexagonal



VASP calculation (PBE) on a relaxed Cs2ZnCrH6 crystal.

Geometry as POSCAR:
```
Cs2ZnCrH6
1.0
-3.155 -0.555 -4.444
-1.265 -5.105 1.534
-6.261 -1.026 1.199
H Cr Cs Zn
6 1 2 1
direct
0.755 0.755 0.000 H
0.754 0.246 0.000 H
0.831 0.831 0.337 H
0.169 0.169 0.663 H
0.245 0.245 0.000 H
0.246 0.754 0.000 H
0.000 0.000 0.000 Cr
0.750 0.250 0.500 Cs
0.250 0.750 0.500 Cs
0.500 0.500 0.000 Zn
```

Computed properties:
VASP energy = -3.226 eV per atom
space group = No. 139
calculated volume = 15.510 A^3/atom
crystal system = tetragonal



VASP calculation (PBE) on a relaxed CsHf2Cr crystal.

Geometry as POSCAR:
```
CsHf2Cr
1.0
0.000 3.599 3.599
3.599 0.000 3.599
3.599 3.599 0.000
Cr Cs Hf
1 1 2
direct
0.000 0.000 0.000 Cr
0.500 0.500 0.500 Cs
0.250 0.250 0.250 Hf
0.750 0.750 0.750 Hf
```

Computed properties:
VASP energy = -6.164 eV per atom
space group = No. 225
calculated formation energy = 1.432 eV per atom
calculated volume = 23.303 A^3/atom
crystal system = cubic



VASP calculation (PBE) on a relaxed CsHf2Cr crystal.

Geometry as POSCAR:
```
CsHf2Cr
1.0
-5.624 2.042 -4.544
-2.902 -6.913 0.485
-7.126 -0.938 2.187
Hf Cr Cs
4 2 2
direct
0.375 0.625 0.250 Hf
0.375 0.125 0.250 Hf
0.375 0.625 0.750 Hf
0.875 0.625 0.750 Hf
0.500 0.500 0.000 Cr
0.250 0.750 0.500 Cr
0.000 0.000 0.000 Cs
0.750 0.250 0.500 Cs
```

Computed properties:
VASP energy = -6.286 eV per atom
space group = No. 227
calculated formation energy = 1.310 eV per atom
calculated volume = 37.486 A^3/atom
crystal system = cubic